# 1
# PBE NbTlBrCl3, optimized geometry
# formation energy without anion corrections: -1.026 eV/atom
data_NbTlBrCl3
_cell_length_a 6.690
_cell_length_b 24.312
_cell_length_c 5.355
_cell_angle_alpha 90.00
_cell_angle_beta 91.33
_cell_angle_gamma 90.00
_space_group_name_H-M_alt 'C 1 2/c 1'
_space_group_IT_number 15
loop_
_space_group_symop_operation_xyz
'x,y,z'
'-x,-y,-z'
'-x,y,-z+1/2'
'x,-y,z+1/2'
'x+1/2,y+1/2,z'
'-x+1/2,-y+1/2,-z'
'-x+1/2,y+1/2,-z+1/2'
'x+1/2,-y+1/2,z+1/2'
loop_
_atom_site_label
_atom_site_type_symbol
_atom_site_fract_x
_atom_site_fract_y
_atom_site_fract_z
_atom_site_occupancy
Nb1 Nb 0.000 0.025 0.250 1
Tl1 Tl 0.000 0.222 0.750 1
Br1 Br 0.000 0.295 0.250 1
Cl1 Cl 0.000 0.121 0.250 1
Cl2 Cl 0.250 0.037 0.907 1



# 2
# PBE NdBrCl2, optimized geometry
# formation energy without anion corrections: -2.142 eV/atom
data_NdBrCl2
_cell_length_a 4.051
_cell_length_b 13.958
_cell_length_c 8.770
_cell_angle_alpha 90.00
_cell_angle_beta 90.00
_cell_angle_gamma 90.00
_space_group_name_H-M_alt 'C m c m'
_space_group_IT_number 63
_space_group_name_Hall '-C 2c 2'
loop_
_atom_site_label
_atom_site_type_symbol
_atom_site_fract_x
_atom_site_fract_y
_atom_site_fract_z
_atom_site_occupancy
Nd1 Nd 0.000 0.240 0.250 1
Br1 Br 0.000 0.410 0.750 1
Cl1 Cl 0.000 0.165 0.569 1



# 3
# PBE Nd2Br2Cl3, optimized geometry
# formation energy without anion corrections: -1.983 eV/atom
data_Nd2Br2Cl3
_cell_length_a 13.492
_cell_length_b 3.810
_cell_length_c 8.231
_cell_angle_alpha 90.00
_cell_angle_beta 114.54
_cell_angle_gamma 90.00
_space_group_name_H-M_alt 'C 1 2/m 1'
_space_group_IT_number 12
loop_
_space_group_symop_operation_xyz
'x,y,z'
'-x,-y,-z'
'-x,y,-z'
'x,-y,z'
'x+1/2,y+1/2,z'
'-x+1/2,-y+1/2,-z'
'-x+1/2,y+1/2,-z'
'x+1/2,-y+1/2,z'
loop_
_atom_site_label
_atom_site_type_symbol
_atom_site_fract_x
_atom_site_fract_y
_atom_site_fract_z
_atom_site_occupancy
Nd1 Nd 0.183 0.000 0.210 1
Br1 Br 0.153 0.000 0.811 1
Cl1 Cl 0.000 0.500 0.000 1
Cl2 Cl 0.136 0.500 0.435 1